Entry 1:
{
  "formula": "InAu5",
  "functional": "GGA-PBE",
  "state": "relaxed",
  "cell": [[2.918, -4.468, 0.000], [2.918, 4.468, 0.000], [0.000, 0.000, 8.607]],
  "species": ["In", "In", "Au", "Au", "Au", "Au", "Au", "Au", "Au", "Au", "Au", "Au"],
  "fractional_positions": [[0.250, 0.750, 0.831], [0.750, 0.250, 0.169], [0.250, 0.250, 0.000], [0.250, 0.250, 0.334], [0.250, 0.250, 0.666], [0.250, 0.750, 0.168], [0.250, 0.750, 0.499], [0.750, 0.250, 0.501], [0.750, 0.250, 0.832], [0.750, 0.750, 0.000], [0.750, 0.750, 0.334], [0.750, 0.750, 0.666]],
  "magnetic_moment_mub_per_fu": 0.0,
  "e_tot_ev_per_atom": -3.255,
  "vol_a3_per_cell": 224.43,
  "density_g_cm3": 16.273
}

Entry 2:
{
  "formula": "Ho6GaRh",
  "functional": "GGA-PBE",
  "state": "relaxed",
  "cell": [[3.365, -5.700, 0.000], [3.365, 5.700, 0.000], [-2.698, 0.000, 6.068]],
  "species": ["Ho", "Ho", "Ho", "Ho", "Ho", "Ho", "Ga", "Rh"],
  "fractional_positions": [[0.049, 0.429, 0.746], [0.239, 0.239, 0.262], [0.429, 0.049, 0.746], [0.571, 0.951, 0.254], [0.761, 0.761, 0.738], [0.951, 0.571, 0.254], [0.500, 0.500, 0.000], [0.000, 0.000, 0.500]],
  "magnetic_moment_mub_per_fu": 0.0,
  "e_tot_ev_per_atom": -4.923,
  "vol_a3_per_cell": 232.75,
  "density_g_cm3": 8.292
}

Entry 3:
{
  "formula": "AgMo2Pb",
  "functional": "GGA-PBE",
  "state": "relaxed",
  "cell": [[-1.998, 1.998, 4.556], [1.998, -1.998, 4.556], [1.998, 1.998, -4.556]],
  "species": ["Ag", "Mo", "Mo", "Pb"],
  "fractional_positions": [[0.000, 0.000, 0.000], [0.250, 0.750, 0.500], [0.750, 0.250, 0.500], [0.500, 0.500, 0.000]],
  "magnetic_moment_mub_per_fu": 0.0,
  "e_tot_ev_per_atom": -6.339,
  "vol_a3_per_cell": 72.75,
  "density_g_cm3": 11.571
}

Entry 4:
{
  "formula": "Co2AgAs",
  "functional": "GGA-PBE",
  "state": "relaxed",
  "cell": [[2.998, -3.006, 0.000], [2.998, 3.006, 0.000], [0.000, 0.000, 3.038]],
  "species": ["Co", "Co", "Ag", "As"],
  "fractional_positions": [[0.000, 0.500, 0.000], [0.500, 0.000, 0.000], [0.000, 0.000, 0.500], [0.500, 0.500, 0.500]],
  "magnetic_moment_mub_per_fu": 2.7,
  "e_tot_ev_per_atom": -5.124,
  "vol_a3_per_cell": 54.75,
  "density_g_cm3": 9.118
}

Entry 5:
{
  "formula": "TbPr2TmAs4",
  "functional": "GGA-PBE",
  "state": "relaxed",
  "cell": [[7.279, 0.000, 0.000], [0.000, 4.210, 0.000], [-2.431, 0.000, 6.869]],
  "species": ["Tb", "Pr", "Pr", "Tm", "As", "As", "As", "As"],
  "fractional_positions": [[0.000, 0.000, 0.000], [0.500, 0.000, 0.500], [0.500, 0.500, 0.000], [0.000, 0.500, 0.500], [0.237, 0.000, 0.743], [0.238, 0.500, 0.248], [0.762, 0.500, 0.752], [0.763, 0.000, 0.257]],
  "magnetic_moment_mub_per_fu": 0.0,
  "e_tot_ev_per_atom": -6.158,
  "vol_a3_per_cell": 210.48,
  "density_g_cm3": 7.174
}

Entry 6:
{
  "formula": "TaMo5",
  "functional": "GGA-PBE",
  "state": "relaxed",
  "cell": [[5.042, -1.592, 0.000], [5.042, 1.592, 0.000], [-2.017, 0.000, 6.052]],
  "species": ["Ta", "Mo", "Mo", "Mo", "Mo", "Mo"],
  "fractional_positions": [[0.000, 0.000, 0.000], [0.000, 0.000, 0.500], [0.331, 0.331, 0.663], [0.332, 0.332, 0.169], [0.668, 0.668, 0.831], [0.669, 0.669, 0.337]],
  "de_polymorph_mev_per_atom": 0.0,
  "magnetic_moment_mub_per_fu": 0.0,
  "e_tot_ev_per_atom": -11.110,
  "vol_a3_per_cell": 97.12,
  "density_g_cm3": 11.295
}

Entry 7:
{
  "formula": "Mg2AlSi",
  "functional": "GGA-PBE",
  "state": "relaxed",
  "cell": [[2.098, -2.190, 0.000], [2.098, 2.190, 0.000], [0.000, 0.000, 8.208]],
  "species": ["Mg", "Mg", "Al", "Si"],
  "fractional_positions": [[0.000, 0.000, 0.000], [0.500, 0.500, 0.291], [0.500, 0.500, 0.741], [0.000, 0.000, 0.528]],
  "raw_formation_energy_mev_per_atom": 105,
  "magnetic_moment_mub_per_fu": 0.0,
  "e_tot_ev_per_atom": -2.984,
  "vol_a3_per_cell": 75.44,
  "density_g_cm3": 2.282
}

Entry 8:
{
  "formula": "GaIrPt2Pb",
  "functional": "GGA-PBE",
  "state": "relaxed",
  "cell": [[4.727, 0.000, 0.000], [0.000, 4.727, 0.000], [0.000, 0.000, 4.670]],
  "species": ["Ga", "Ir", "Pt", "Pt", "Pb"],
  "fractional_positions": [[0.000, 0.000, 0.000], [0.000, 0.000, 0.500], [0.000, 0.500, 0.000], [0.500, 0.000, 0.000], [0.500, 0.500, 0.500]],
  "magnetic_moment_mub_per_fu": 0.0,
  "e_tot_ev_per_atom": -5.032,
  "vol_a3_per_cell": 104.38,
  "density_g_cm3": 13.671
}